Crystalline Ti2AgSBr at its relaxed geometry, computed with PBE.

CIF file:
```
data_Ti2AgSBr
_space_group_name_H-M_alt 'P 4/m m m'
_space_group_IT_number 123
_space_group_name_Hall '-P 4 2'
_cell_length_a 4.636
_cell_length_b 4.636
_cell_length_c 4.910
_cell_angle_alpha 90.00
_cell_angle_beta 90.00
_cell_angle_gamma 90.00
loop_
_atom_site_label
_atom_site_type_symbol
_atom_site_fract_x
_atom_site_fract_y
_atom_site_fract_z
Ti1 Ti 0.000 0.500 0.000
Ag1 Ag 0.000 0.000 0.500
S1 S 0.000 0.000 0.000
Br1 Br 0.500 0.500 0.500
```

Properties
M_tot = 0.3501 μB/atom
uncorrected energy = -4.834 eV per atom


Crystalline La2GaB at its relaxed geometry, computed with PBE.

CIF file:
```
data_La2GaB
_space_group_name_H-M_alt 'F m -3 m'
_space_group_IT_number 225
_space_group_name_Hall '-F 4 2 3'
_cell_length_a 7.218
_cell_length_b 7.218
_cell_length_c 7.218
_cell_angle_alpha 90.00
_cell_angle_beta 90.00
_cell_angle_gamma 90.00
loop_
_atom_site_label
_atom_site_type_symbol
_atom_site_fract_x
_atom_site_fract_y
_atom_site_fract_z
La1 La 0.250 0.250 0.250
Ga1 Ga 0.000 0.000 0.000
B1 B 0.000 0.000 0.500
```

Properties
M_tot = 0.0000 μB/atom
uncorrected energy = -4.843 eV per atom
polymorph energy (0 for the lowest one) = 0 meV/atom
energy of formation from the pure elements = 47 meV/atom